First-principles (SCAN) data for a crystal of Li2Ti3Ga3O12 relaxed with PBEsol, as listed in Alexandria via LeMat-Bulk.

Output
Formation energy from raw total energies in meV/atom: -2536.0
Density in g/cm3: 4.3

a = 5.9090 Å, b = 8.2638 Å, c = 10.2554 Å
α = 113.76°, β = 106.74°, γ = 90.01°
Last column: magnetic moment on the atom in μB.
Element x y z (fractional)
Ti (0.6684, 0.1641, 0.8410)  -0.06
Li (0.5000, 0.0000, 0.5000)  0.00
O (0.5096, 0.2615, 0.5077)  0.04
O (0.4904, 0.7385, 0.4923)  0.04
O (0.1649, 0.8970, 0.8238)  0.16
O (0.6545, 0.9038, 0.3297)  0.07
O (0.3489, 0.6252, 0.2024)  0.04
Ga (0.4210, 0.2966, 0.3316)  0.00
O (0.5404, 0.2382, 0.0000)  0.17
O (0.0430, 0.7604, 0.0000)  0.20
O (0.1657, 0.9032, 0.3251)  0.05
O (0.8535, 0.5772, 0.2024)  0.04
Li (0.0000, 0.5000, 0.5000)  0.00
Ti (0.1726, 0.6769, 0.8410)  -0.06
O (0.8351, 0.1030, 0.1762)  0.16
O (0.3248, 0.5741, 0.6703)  0.07
Ga (0.9106, 0.0350, 0.3316)  0.00
Ga (0.3257, 0.3257, 0.6515)  0.00
O (0.3410, 0.0732, 0.1762)  0.16
O (0.8406, 0.5780, 0.6749)  0.05
O (0.4596, 0.7618, 0.0000)  0.17
O (0.6590, 0.9268, 0.8238)  0.16
Ga (0.0894, 0.9650, 0.6684)  0.00
O (0.9981, 0.2461, 0.5077)  0.04
O (0.9570, 0.2396, 0.0000)  0.20
Li (0.0000, 0.0000, 0.0000)  0.00
O (0.8343, 0.0968, 0.6749)  0.05
O (0.6752, 0.4259, 0.3297)  0.07
O (0.6511, 0.3748, 0.7976)  0.04
O (0.1594, 0.4220, 0.3251)  0.05
O (0.3455, 0.0962, 0.6703)  0.07
O (0.0019, 0.7539, 0.4923)  0.04
Ti (0.3316, 0.8359, 0.1590)  -0.06
Ga (0.5790, 0.7034, 0.6684)  0.00
Ti (0.8347, 0.3347, 0.6693)  -0.02
Ti (0.8274, 0.3231, 0.1590)  -0.06
O (0.1465, 0.4228, 0.7976)  0.04
Li (0.5000, 0.0000, 0.0000)  0.00
Ga (0.6743, 0.6743, 0.3485)  0.00
Ti (0.1653, 0.6653, 0.3307)  -0.02


First-principles (SCAN) data for a crystal of Li16V3Ga13O32 relaxed with PBEsol, as listed in Alexandria via LeMat-Bulk.

Output
Formation energy from raw total energies in meV/atom: -2247.8
Density in g/cm3: 4.0

a = 5.4444 Å, b = 6.3827 Å, c = 19.9418 Å
α = 90.04°, β = 89.99°, γ = 89.99°
Last column: magnetic moment on the atom in μB.
Element x y z (fractional)
O (0.4093, 0.1373, 0.0273)  0.00
Ga (0.5837, 0.3736, 0.0002)  0.01
O (0.5697, 0.3886, 0.4069)  0.01
O (0.4312, 0.6120, 0.0331)  0.01
V (0.4148, 0.6293, 0.1282)  1.82
O (0.0813, 0.6383, 0.1515)  0.01
O (0.0697, 0.1137, 0.6566)  0.00
O (0.0703, 0.1126, 0.4067)  0.00
Li (0.9183, 0.3757, 0.3765)  0.00
O (0.9085, 0.3636, 0.0276)  0.00
O (0.0732, 0.1167, 0.9062)  0.01
O (0.5920, 0.8631, 0.4012)  0.00
Ga (0.4158, 0.6300, 0.6251)  0.01
O (0.5921, 0.8638, 0.6529)  0.00
V (0.9142, 0.8696, 0.8780)  1.82
O (0.5740, 0.3843, 0.9067)  0.00
Li (0.5831, 0.8761, 0.7518)  0.00
Li (0.0852, 0.6223, 0.0025)  0.00
O (0.4082, 0.1381, 0.7763)  0.00
O (0.0933, 0.6309, 0.9031)  0.01
Li (0.5845, 0.8782, 0.2516)  0.00
Ga (0.9163, 0.8738, 0.6251)  0.00
O (0.9093, 0.3619, 0.2774)  0.00
O (0.5817, 0.8615, 0.9022)  0.01
O (0.4079, 0.1320, 0.5275)  0.01
O (0.5728, 0.3830, 0.1569)  0.01
O (0.4078, 0.1362, 0.2776)  0.00
Li (0.0813, 0.6256, 0.7513)  0.00
Li (0.9160, 0.3748, 0.1259)  0.00
O (0.4294, 0.6121, 0.7812)  0.00
Li (0.4178, 0.1261, 0.1256)  0.00
Li (0.0846, 0.6257, 0.5002)  0.00
Li (0.4170, 0.1250, 0.8751)  0.00
V (0.5858, 0.3712, 0.5020)  1.83
Ga (0.0819, 0.1269, 0.7500)  0.01
O (0.9304, 0.8883, 0.7831)  0.01
O (0.9071, 0.3641, 0.7763)  0.00
Ga (0.0837, 0.1224, 0.4999)  0.02
O (0.0738, 0.1149, 0.1563)  0.00
Li (0.9217, 0.3772, 0.6263)  0.00
Ga (0.9163, 0.8785, 0.1236)  0.01
O (0.5935, 0.8693, 0.1523)  0.01
Li (0.0778, 0.6234, 0.2510)  0.00
O (0.9177, 0.3634, 0.5269)  0.01
Li (0.9170, 0.3740, 0.8751)  0.00
O (0.9300, 0.8866, 0.2813)  0.00
O (0.4295, 0.6133, 0.2798)  0.00
Ga (0.4164, 0.6209, 0.8744)  0.01
Ga (0.9177, 0.8732, 0.3745)  0.00
Ga (0.4177, 0.6271, 0.3737)  0.01
Ga (0.0836, 0.1262, 0.2498)  0.00
Li (0.4176, 0.1249, 0.3764)  0.00
Ga (0.5827, 0.3731, 0.7485)  0.00
O (0.9264, 0.8850, 0.5317)  0.00
O (0.0911, 0.6385, 0.6525)  0.00
O (0.9297, 0.8886, 0.0299)  0.00
O (0.5705, 0.3874, 0.6550)  0.00
Li (0.4162, 0.1223, 0.6268)  0.00
Li (0.5775, 0.8754, 0.0015)  0.00
Ga (0.5844, 0.3702, 0.2504)  0.01
Ga (0.0851, 0.1304, 0.9995)  0.01
O (0.0929, 0.6374, 0.4013)  0.00
O (0.4277, 0.6168, 0.5316)  0.01
Li (0.5825, 0.8740, 0.5001)  0.00